Na4Ca2SnP4 | the Alexandria database | PBEsol | relaxed; magnetic moment = 0.0 μB per formula unit; space-group type = Cc; ΔE_f = -6.7 eV per formula unit
1.0
7.018 0.022 0.000
0.413 9.336 0.000
-0.207 -4.668 8.092
Na Ca P Sn
8 4 8 2
direct
0.880 0.472 0.538
0.177 0.716 0.854
0.705 0.851 0.710
0.734 0.289 0.152
0.380 0.934 0.462
0.205 0.141 0.290
0.677 0.862 0.146
0.234 0.136 0.848
0.389 0.530 0.472
0.877 0.481 0.948
0.889 0.058 0.528
0.377 0.532 0.052
0.614 0.195 0.377
0.641 0.655 0.321
0.114 0.818 0.623
0.089 0.809 0.183
0.141 0.334 0.679
0.142 0.375 0.179
0.589 0.626 0.817
0.642 0.196 0.821
0.000 0.662 0.334
0.500 0.328 0.666